*one*
Below is a relaxed structure of NaSbRh3, with properties calculated at the PBE level.

Summary:
- space group = Pm-3m, No. 221

```
NaSbRh3
1.0
4.897 0.000 0.000
0.000 4.897 0.000
0.000 0.000 4.897
Na Sb Rh
1 1 3
Direct
0.000 0.000 0.000
0.500 0.500 0.500
0.000 0.500 0.500
0.500 0.000 0.500
0.500 0.500 0.000
```

*two*
Below is a relaxed structure of NaSbRh3, with properties calculated at the PBE level.

Summary:
- space group = Pm-3m, No. 221

```
NaSbRh3
1.0
4.514 0.000 0.000
0.000 4.514 0.000
0.000 0.000 4.514
Na Sb Rh
1 1 3
Direct
0.000 0.000 0.000
0.500 0.500 0.500
0.000 0.000 0.500
0.000 0.500 0.000
0.500 0.000 0.000
```

Taking the most stable structure as the zero point, the relative energies in meV/atom are *one* 0; *two* 657.

*one*
Below is a relaxed structure of NaSb2TeRh, with properties calculated at the PBE level.

Summary:
- space group = P4/mmm, No. 123

```
NaSb2TeRh
1.0
5.210 0.000 0.000
0.000 5.210 0.000
0.000 0.000 5.296
Na Sb Te Rh
1 2 1 1
Direct
0.000 0.000 0.000
0.000 0.500 0.000
0.500 0.000 0.000
0.000 0.000 0.500
0.500 0.500 0.500
```

*two*
Below is a relaxed structure of NaSb2TeRh, with properties calculated at the PBE level.

Summary:
- space group = P4/mmm, No. 123

```
NaSb2TeRh
1.0
5.050 0.000 0.000
0.000 5.050 0.000
0.000 0.000 5.913
Na Sb Te Rh
1 2 1 1
Direct
0.000 0.000 0.000
0.000 0.500 0.500
0.500 0.000 0.500
0.500 0.500 0.000
0.500 0.500 0.500
```

Taking the most stable structure as the zero point, the relative energies in meV/atom are *one* 1183; *two* 0.

*one*
Below is a relaxed structure of Na2ScRh, with properties calculated at the PBE level.

Summary:
- space group = I-42d, No. 122

```
Na2ScRh
1.0
3.830 0.000 0.000
0.000 3.830 0.000
0.000 0.000 23.232
Na Sc Rh
8 4 4
Direct
0.232 0.250 0.125
0.250 0.732 0.375
0.250 0.768 0.875
0.268 0.250 0.625
0.732 0.750 0.625
0.750 0.232 0.875
0.750 0.268 0.375
0.768 0.750 0.125
0.000 0.000 0.500
0.000 0.500 0.750
0.500 0.000 0.250
0.500 0.500 0.000
0.000 0.000 0.000
0.000 0.500 0.250
0.500 0.000 0.750
0.500 0.500 0.500
```

*two*
Below is a relaxed structure of Na2ScRh, with properties calculated at the PBE level.

Summary:
- space group = Fm-3m, No. 225

```
Na2ScRh
1.0
6.864 0.000 0.000
0.000 6.864 0.000
0.000 0.000 6.864
Na Sc Rh
8 4 4
Direct
0.250 0.250 0.250
0.250 0.250 0.750
0.250 0.750 0.250
0.250 0.750 0.750
0.750 0.250 0.250
0.750 0.250 0.750
0.750 0.750 0.250
0.750 0.750 0.750
0.000 0.000 0.000
0.000 0.500 0.500
0.500 0.000 0.500
0.500 0.500 0.000
0.000 0.000 0.500
0.000 0.500 0.000
0.500 0.000 0.000
0.500 0.500 0.500
```

Taking the most stable structure as the zero point, the relative energies in meV/atom are *one* 0; *two* 365.

*one*
Below is a relaxed structure of NaSc3Rh, with properties calculated at the PBE level.

Summary:
- space group = Pm-3m, No. 221

```
NaSc3Rh
1.0
4.940 0.000 0.000
0.000 4.940 0.000
0.000 0.000 4.940
Na Sc Rh
1 3 1
Direct
0.000 0.000 0.000
0.000 0.000 0.500
0.000 0.500 0.000
0.500 0.000 0.000
0.500 0.500 0.500
```

*two*
Below is a relaxed structure of NaSc3Rh, with properties calculated at the PBE level.

Summary:
- space group = Pm-3m, No. 221

```
NaSc3Rh
1.0
5.109 0.000 0.000
0.000 5.109 0.000
0.000 0.000 5.109
Na Sc Rh
1 3 1
Direct
0.000 0.000 0.000
0.000 0.500 0.500
0.500 0.000 0.500
0.500 0.500 0.000
0.500 0.500 0.500
```

Taking the most stable structure as the zero point, the relative energies in meV/atom are *one* 1369; *two* 0.

*one*
Below is a relaxed structure of NaRh3Se, with properties calculated at the PBE level.

Summary:
- space group = Pm-3m, No. 221

```
NaRh3Se
1.0
4.567 0.000 0.000
0.000 4.567 0.000
0.000 0.000 4.567
Na Rh Se
1 3 1
Direct
0.000 0.000 0.000
0.000 0.000 0.500
0.000 0.500 0.000
0.500 0.000 0.000
0.500 0.500 0.500
```

*two*
Below is a relaxed structure of NaRh3Se, with properties calculated at the PBE level.

Summary:
- space group = Pm-3m, No. 221

```
NaRh3Se
1.0
4.615 0.000 0.000
0.000 4.615 0.000
0.000 0.000 4.615
Na Rh Se
1 3 1
Direct
0.000 0.000 0.000
0.000 0.500 0.500
0.500 0.000 0.500
0.500 0.500 0.000
0.500 0.500 0.500
```

Taking the most stable structure as the zero point, the relative energies in meV/atom are *one* 1367; *two* 0.

*one*
Below is a relaxed structure of NaRh2Se2, with properties calculated at the PBE level.

Summary:
- space group = I4/mmm, No. 139

```
NaRh2Se2
1.0
3.980 0.000 0.000
0.000 3.980 0.000
0.000 0.000 12.721
Na Rh Se
2 4 4
Direct
0.000 0.000 0.000
0.500 0.500 0.500
0.000 0.500 0.250
0.000 0.500 0.750
0.500 0.000 0.250
0.500 0.000 0.750
0.000 0.000 0.370
0.000 0.000 0.630
0.500 0.500 0.130
0.500 0.500 0.870
```

*two*
Below is a relaxed structure of NaRh2Se2, with properties calculated at the PBE level.

Summary:
- space group = I4/mmm, No. 139

```
NaRh2Se2
1.0
4.709 0.000 0.000
0.000 4.709 0.000
0.000 0.000 8.814
Na Rh Se
2 4 4
Direct
0.000 0.000 0.000
0.500 0.500 0.500
0.000 0.000 0.351
0.000 0.000 0.649
0.500 0.500 0.149
0.500 0.500 0.851
0.000 0.500 0.250
0.000 0.500 0.750
0.500 0.000 0.250
0.500 0.000 0.750
```

Taking the most stable structure as the zero point, the relative energies in meV/atom are *one* 0; *two* 91.

*one*
Below is a relaxed structure of Na3RhSe, with properties calculated at the PBE level.

Summary:
- space group = Pm-3m, No. 221

```
Na3RhSe
1.0
5.311 0.000 0.000
0.000 5.311 0.000
0.000 0.000 5.311
Na Rh Se
3 1 1
Direct
0.000 0.000 0.500
0.000 0.500 0.000
0.500 0.000 0.000
0.000 0.000 0.000
0.500 0.500 0.500
```

*two*
Below is a relaxed structure of Na3RhSe, with properties calculated at the PBE level.

Summary:
- space group = Pm-3m, No. 221

```
Na3RhSe
1.0
5.426 0.000 0.000
0.000 5.426 0.000
0.000 0.000 5.426
Na Rh Se
3 1 1
Direct
0.000 0.000 0.500
0.000 0.500 0.000
0.500 0.000 0.000
0.500 0.500 0.500
0.000 0.000 0.000
```

Taking the most stable structure as the zero point, the relative energies in meV/atom are *one* 219; *two* 0.

*one*
Below is a relaxed structure of NaSi2Rh, with properties calculated at the PBE level.

Summary:
- space group = I-42d, No. 122

```
NaSi2Rh
1.0
5.002 0.000 0.000
0.000 5.002 0.000
0.000 0.000 15.219
Na Si Rh
4 8 4
Direct
0.000 0.000 0.000
0.000 0.500 0.250
0.500 0.000 0.750
0.500 0.500 0.500
0.002 0.250 0.625
0.250 0.502 0.875
0.250 0.998 0.375
0.498 0.250 0.125
0.502 0.750 0.125
0.750 0.002 0.375
0.750 0.498 0.875
0.998 0.750 0.625
0.000 0.000 0.500
0.000 0.500 0.750
0.500 0.000 0.250
0.500 0.500 0.000
```

*two*
Below is a relaxed structure of NaSi2Rh, with properties calculated at the PBE level.

Summary:
- space group = R-3m, No. 166

```
NaSi2Rh
1.0
4.098 0.000 0.000
-2.049 3.549 0.000
0.000 0.000 16.085
Na Si Rh
3 6 3
Direct
0.000 0.000 0.000
0.333 0.667 0.667
0.667 0.333 0.333
0.000 0.000 0.200
0.000 0.000 0.800
0.333 0.667 0.467
0.333 0.667 0.867
0.667 0.333 0.133
0.667 0.333 0.533
0.000 0.000 0.500
0.333 0.667 0.167
0.667 0.333 0.833
```

*three*
Below is a relaxed structure of NaSi2Rh, with properties calculated at the PBE level.

Summary:
- space group = Fm-3m, No. 225

```
NaSi2Rh
1.0
6.161 0.000 0.000
0.000 6.161 0.000
0.000 0.000 6.161
Na Si Rh
4 8 4
Direct
0.000 0.000 0.000
0.000 0.500 0.500
0.500 0.000 0.500
0.500 0.500 0.000
0.250 0.250 0.250
0.250 0.250 0.750
0.250 0.750 0.250
0.250 0.750 0.750
0.750 0.250 0.250
0.750 0.250 0.750
0.750 0.750 0.250
0.750 0.750 0.750
0.000 0.000 0.500
0.000 0.500 0.000
0.500 0.000 0.000
0.500 0.500 0.500
```

Taking the most stable structure as the zero point, the relative energies in meV/atom are *one* 196; *two* 0; *three* 223.